Entry 1:
Compound: Pm6PrNd2Ho3
Source: Alexandria via LeMat-Bulk
Functional: GGA-PBE
Structure: optimized geometry

abc: 6.295 6.295 12.008
angles: 95.01 95.01 120.00
Atoms (fractional coordinates):
Pm  0.085  0.419  0.755
Pm  0.248  0.248  0.245
Pm  0.419  0.085  0.755
Pm  0.581  0.915  0.245
Pm  0.752  0.752  0.755
Pm  0.915  0.581  0.245
Pr  0.000  0.000  0.500
Nd  0.333  0.667  0.500
Nd  0.667  0.333  0.500
Ho  0.167  0.833  0.000
Ho  0.500  0.500  0.000
Ho  0.833  0.167  0.000

Computed properties:
E_tot ... -4.696 eV per atom
Formation energy from the elements ... 0.0164 eV/atom
Crystal system ... monoclinic
Spin magnetization ... 0.000 μB per cell



Entry 2:
Compound: Pm2Nd3Ho6Pu
Source: Alexandria via LeMat-Bulk
Functional: GGA-PBE
Structure: optimized geometry

abc: 6.207 6.207 11.739
angles: 95.06 95.06 120.03
Atoms (fractional coordinates):
Pm  0.167  0.833  0.000
Pm  0.833  0.167  0.000
Nd  0.000  0.000  0.500
Nd  0.333  0.667  0.500
Nd  0.667  0.333  0.500
Ho  0.089  0.418  0.754
Ho  0.254  0.254  0.247
Ho  0.418  0.089  0.754
Ho  0.582  0.911  0.246
Ho  0.746  0.746  0.753
Ho  0.911  0.582  0.246
Pu  0.500  0.500  0.000

Computed properties:
E_tot ... -5.424 eV per atom
Formation energy from the elements ... 0.0427 eV/atom
Crystal system ... monoclinic
Spin magnetization ... 6.438 μB per cell



Entry 3:
Compound: PmNdHoRu
Source: Alexandria via LeMat-Bulk
Functional: GGA-PBE
Structure: optimized geometry

abc: 5.254 5.254 5.254
angles: 60.00 60.00 60.00
Atoms (fractional coordinates):
Pm  0.000  0.000  0.000
Nd  0.500  0.500  0.500
Ho  0.250  0.250  0.250
Ru  0.750  0.750  0.750

Computed properties:
E_tot ... -5.659 eV per atom
Formation energy from the elements ... 0.1841 eV/atom
Crystal system ... cubic
Spin magnetization ... 0.000 μB per cell



Entry 4:
Compound: Pm3Nd2HoS6
Source: Alexandria via LeMat-Bulk
Functional: GGA-PBE
Structure: optimized geometry

abc: 6.973 6.973 6.958
angles: 99.59 99.59 120.15
Atoms (fractional coordinates):
Pm  0.000  0.000  0.000
Pm  0.329  0.671  0.000
Pm  0.671  0.329  0.000
Nd  0.167  0.833  0.500
Nd  0.833  0.167  0.500
Ho  0.500  0.500  0.500
S  0.095  0.418  0.254
S  0.260  0.260  0.750
S  0.418  0.095  0.254
S  0.582  0.905  0.746
S  0.740  0.740  0.250
S  0.905  0.582  0.746

Computed properties:
E_tot ... -6.450 eV per atom
ΔE_f (raw) ... -2.02 eV per atom
Crystal system ... monoclinic
Spin magnetization ... 0.000 μB per cell



Entry 5:
Compound: PmNd3Ho2S6
Source: Alexandria via LeMat-Bulk
Functional: GGA-PBE
Structure: optimized geometry

abc: 6.914 6.914 6.972
angles: 99.49 99.49 120.15
Atoms (fractional coordinates):
Pm  0.000  0.000  0.000
Nd  0.163  0.837  0.500
Nd  0.500  0.500  0.500
Nd  0.837  0.163  0.500
Ho  0.334  0.666  0.000
Ho  0.666  0.334  0.000
S  0.079  0.421  0.238
S  0.264  0.264  0.765
S  0.421  0.079  0.238
S  0.579  0.921  0.762
S  0.736  0.736  0.235
S  0.921  0.579  0.762

Computed properties:
E_tot ... -6.429 eV per atom
ΔE_f (raw) ... -2.01 eV per atom
Crystal system ... monoclinic
Spin magnetization ... 0.000 μB per cell



Entry 6:
Compound: Pm4Nd3HoS8
Source: Alexandria via LeMat-Bulk
Functional: GGA-PBE
Structure: optimized geometry

abc: 8.058 8.058 8.058
angles: 60.08 60.08 60.08
Atoms (fractional coordinates):
Pm  0.000  0.000  0.000
Pm  0.000  0.500  0.500
Pm  0.500  0.000  0.500
Pm  0.500  0.500  0.000
Nd  0.000  0.000  0.500
Nd  0.000  0.500  0.000
Nd  0.500  0.000  0.000
Ho  0.500  0.500  0.500
S  0.251  0.251  0.251
S  0.256  0.256  0.742
S  0.256  0.742  0.256
S  0.258  0.744  0.744
S  0.742  0.256  0.256
S  0.744  0.258  0.744
S  0.744  0.744  0.258
S  0.749  0.749  0.749

Computed properties:
E_tot ... -6.447 eV per atom
ΔE_f (raw) ... -2.02 eV per atom
Crystal system ... trigonal
Spin magnetization ... 0.000 μB per cell



Entry 7:
Compound: Pm3Nd3HoS8
Source: Alexandria via LeMat-Bulk
Functional: GGA-PBE
Structure: optimized geometry

abc: 8.079 8.079 8.079
angles: 59.87 59.87 59.87
Atoms (fractional coordinates):
Pm  0.000  0.500  0.500
Pm  0.500  0.000  0.500
Pm  0.500  0.500  0.000
Nd  0.000  0.000  0.500
Nd  0.000  0.500  0.000
Nd  0.500  0.000  0.000
Ho  0.000  0.000  0.000
S  0.243  0.243  0.756
S  0.243  0.756  0.243
S  0.244  0.757  0.757
S  0.251  0.251  0.251
S  0.749  0.749  0.749
S  0.756  0.243  0.243
S  0.757  0.244  0.757
S  0.757  0.757  0.244

Computed properties:
E_tot ... -6.467 eV per atom
ΔE_f (raw) ... -2.06 eV per atom
Crystal system ... trigonal
Spin magnetization ... 0.000 μB per cell



Entry 8:
Compound: PmNd2HoS4
Source: Alexandria via LeMat-Bulk
Functional: GGA-PBE
Structure: optimized geometry

abc: 6.962 3.968 7.008
angles: 90.00 108.89 90.00
Atoms (fractional coordinates):
Pm  0.000  0.000  0.000
Nd  0.000  0.500  0.500
Nd  0.500  0.000  0.500
Ho  0.500  0.500  0.000
S  0.254  0.500  0.242
S  0.261  0.000  0.763
S  0.739  0.000  0.237
S  0.746  0.500  0.758

Computed properties:
E_tot ... -6.434 eV per atom
ΔE_f (raw) ... -2.01 eV per atom
Crystal system ... monoclinic
Spin magnetization ... 0.000 μB per cell



Entry 9:
Compound: PmNdHo2S4
Source: Alexandria via LeMat-Bulk
Functional: GGA-PBE
Structure: optimized geometry

abc: 6.821 3.912 6.998
angles: 90.00 108.76 90.00
Atoms (fractional coordinates):
Pm  0.000  0.000  0.000
Nd  0.500  0.500  0.000
Ho  0.000  0.500  0.500
Ho  0.500  0.000  0.500
S  0.243  0.000  0.733
S  0.254  0.500  0.266
S  0.746  0.500  0.734
S  0.757  0.000  0.267

Computed properties:
E_tot ... -6.404 eV per atom
ΔE_f (raw) ... -2.01 eV per atom
Crystal system ... monoclinic
Spin magnetization ... 0.000 μB per cell



Entry 10:
Compound: PmNd2HoS6
Source: Alexandria via LeMat-Bulk
Functional: GGA-PBE
Structure: optimized geometry

abc: 7.478 7.478 7.478
angles: 56.73 56.73 56.73
Atoms (fractional coordinates):
Pm  0.000  0.000  0.000
Nd  0.291  0.291  0.291
Nd  0.794  0.794  0.794
Ho  0.497  0.497  0.497
S  0.110  0.696  0.392
S  0.208  0.607  0.880
S  0.392  0.110  0.696
S  0.607  0.880  0.208
S  0.696  0.392  0.110
S  0.880  0.208  0.607

Computed properties:
E_tot ... -6.388 eV per atom
ΔE_f (raw) ... -2.03 eV per atom
Crystal system ... trigonal
Spin magnetization ... 0.000 μB per cell



Entry 11:
Compound: Pm3Nd4HoS8
Source: Alexandria via LeMat-Bulk
Functional: GGA-PBE
Structure: optimized geometry

abc: 8.079 8.079 8.079
angles: 59.86 59.86 59.86
Atoms (fractional coordinates):
Pm  0.000  0.500  0.500
Pm  0.500  0.000  0.500
Pm  0.500  0.500  0.000
Nd  0.000  0.000  0.500
Nd  0.000  0.500  0.000
Nd  0.500  0.000  0.000
Nd  0.500  0.500  0.500
Ho  0.000  0.000  0.000
S  0.243  0.243  0.754
S  0.243  0.754  0.243
S  0.246  0.757  0.757
S  0.251  0.251  0.251
S  0.749  0.749  0.749
S  0.754  0.243  0.243
S  0.757  0.246  0.757
S  0.757  0.757  0.246

Computed properties:
E_tot ... -6.450 eV per atom
ΔE_f (raw) ... -2.02 eV per atom
Crystal system ... trigonal
Spin magnetization ... 0.000 μB per cell



Entry 12:
Compound: PmNd3Ho3S8
Source: Alexandria via LeMat-Bulk
Functional: GGA-PBE
Structure: optimized geometry

abc: 7.984 7.984 7.984
angles: 59.44 59.44 59.44
Atoms (fractional coordinates):
Pm  0.000  0.000  0.000
Nd  0.000  0.000  0.500
Nd  0.000  0.500  0.000
Nd  0.500  0.000  0.000
Ho  0.000  0.500  0.500
Ho  0.500  0.000  0.500
Ho  0.500  0.500  0.000
S  0.253  0.253  0.736
S  0.253  0.736  0.253
S  0.255  0.255  0.255
S  0.264  0.747  0.747
S  0.736  0.253  0.253
S  0.745  0.745  0.745
S  0.747  0.264  0.747
S  0.747  0.747  0.264

Computed properties:
E_tot ... -6.426 eV per atom
ΔE_f (raw) ... -2.04 eV per atom
Crystal system ... trigonal
Spin magnetization ... 0.000 μB per cell



Entry 13:
Compound: Pm2NdHo3S6
Source: Alexandria via LeMat-Bulk
Functional: GGA-PBE
Structure: optimized geometry

abc: 6.832 6.832 6.939
angles: 99.42 99.42 120.17
Atoms (fractional coordinates):
Pm  0.167  0.833  0.000
Pm  0.833  0.167  0.000
Nd  0.500  0.500  0.000
Ho  0.000  0.000  0.500
Ho  0.334  0.666  0.500
Ho  0.666  0.334  0.500
S  0.076  0.411  0.734
S  0.253  0.253  0.265
S  0.411  0.076  0.734
S  0.589  0.924  0.266
S  0.747  0.747  0.735
S  0.924  0.589  0.266

Computed properties:
E_tot ... -6.408 eV per atom
ΔE_f (raw) ... -2.01 eV per atom
Crystal system ... monoclinic
Spin magnetization ... 0.000 μB per cell



Entry 14:
Compound: PmNd2HoSb4
Source: Alexandria via LeMat-Bulk
Functional: GGA-PBE
Structure: optimized geometry

abc: 7.754 4.481 7.756
angles: 90.00 109.49 90.00
Atoms (fractional coordinates):
Pm  0.000  0.000  0.000
Nd  0.500  0.000  0.500
Nd  0.500  0.500  0.000
Ho  0.000  0.500  0.500
Sb  0.243  0.000  0.744
Sb  0.245  0.500  0.252
Sb  0.755  0.500  0.748
Sb  0.757  0.000  0.256

Computed properties:
E_tot ... -5.584 eV per atom
ΔE_f (raw) ... -1.17 eV per atom
Crystal system ... monoclinic
Spin magnetization ... 0.000 μB per cell



Entry 15:
Compound: PmNd2Ho3Sb6
Source: Alexandria via LeMat-Bulk
Functional: GGA-PBE
Structure: optimized geometry

abc: 9.925 9.925 8.877
angles: 102.79 102.79 25.87
Atoms (fractional coordinates):
Pm  0.000  0.000  0.000
Nd  0.333  0.333  0.667
Nd  0.667  0.667  0.333
Ho  0.000  0.000  0.500
Ho  0.333  0.333  0.167
Ho  0.667  0.667  0.833
Sb  0.164  0.164  0.589
Sb  0.168  0.168  0.077
Sb  0.498  0.498  0.254
Sb  0.502  0.502  0.746
Sb  0.832  0.832  0.923
Sb  0.836  0.836  0.411

Computed properties:
E_tot ... -5.544 eV per atom
ΔE_f (raw) ... -1.15 eV per atom
Crystal system ... monoclinic
Spin magnetization ... 0.000 μB per cell



Entry 16:
Compound: Pm3Nd2HoSb6
Source: Alexandria via LeMat-Bulk
Functional: GGA-PBE
Structure: optimized geometry

abc: 10.023 10.023 8.963
angles: 102.93 102.93 25.86
Atoms (fractional coordinates):
Pm  0.000  0.000  0.000
Pm  0.332  0.332  0.666
Pm  0.668  0.668  0.334
Nd  0.334  0.334  0.168
Nd  0.666  0.666  0.832
Ho  0.000  0.000  0.500
Sb  0.164  0.164  0.580
Sb  0.166  0.166  0.084
Sb  0.499  0.499  0.744
Sb  0.501  0.501  0.256
Sb  0.834  0.834  0.916
Sb  0.836  0.836  0.420

Computed properties:
E_tot ... -5.597 eV per atom
ΔE_f (raw) ... -1.17 eV per atom
Crystal system ... monoclinic
Spin magnetization ... 0.000 μB per cell



Entry 17:
Compound: PmNdHo2Sb4
Source: Alexandria via LeMat-Bulk
Functional: GGA-PBE
Structure: optimized geometry

abc: 7.682 4.443 7.691
angles: 90.00 109.50 90.00
Atoms (fractional coordinates):
Pm  0.000  0.000  0.000
Nd  0.000  0.500  0.500
Ho  0.500  0.000  0.500
Ho  0.500  0.500  0.000
Sb  0.259  0.000  0.754
Sb  0.259  0.500  0.252
Sb  0.741  0.000  0.246
Sb  0.741  0.500  0.748

Computed properties:
E_tot ... -5.543 eV per atom
ΔE_f (raw) ... -1.15 eV per atom
Crystal system ... monoclinic
Spin magnetization ... 0.000 μB per cell



Entry 18:
Compound: Pm6Nd2Ho3Sc
Source: Alexandria via LeMat-Bulk
Functional: GGA-PBE
Structure: optimized geometry

abc: 6.230 6.230 11.872
angles: 95.02 95.02 120.00
Atoms (fractional coordinates):
Pm  0.083  0.413  0.751
Pm  0.247  0.247  0.249
Pm  0.413  0.083  0.751
Pm  0.587  0.917  0.249
Pm  0.753  0.753  0.751
Pm  0.917  0.587  0.249
Nd  0.333  0.667  0.500
Nd  0.667  0.333  0.500
Ho  0.166  0.834  0.000
Ho  0.500  0.500  0.000
Ho  0.834  0.166  0.000
Sc  0.000  0.000  0.500

Computed properties:
E_tot ... -4.817 eV per atom
Formation energy from the elements ... 0.0250 eV/atom
Crystal system ... monoclinic
Spin magnetization ... 0.000 μB per cell



Entry 19:
Compound: Pm3NdHoSc
Source: Alexandria via LeMat-Bulk
Functional: GGA-PBE
Structure: optimized geometry

abc: 7.948 5.081 10.124
angles: 90.00 108.70 90.00
Atoms (fractional coordinates):
Pm  0.171  0.250  0.045
Pm  0.173  0.750  0.790
Pm  0.177  0.250  0.542
Pm  0.823  0.750  0.458
Pm  0.827  0.250  0.210
Pm  0.829  0.750  0.955
Nd  0.176  0.750  0.297
Nd  0.824  0.250  0.703
Ho  0.499  0.750  0.127
Ho  0.501  0.250  0.873
Sc  0.499  0.250  0.378
Sc  0.501  0.750  0.622

Computed properties:
E_tot ... -4.945 eV per atom
Formation energy from the elements ... 0.0429 eV/atom
Crystal system ... monoclinic
Spin magnetization ... 0.002 μB per cell



Entry 20:
Compound: Pm2Nd4HoSc
Source: Alexandria via LeMat-Bulk
Functional: GGA-PBE
Structure: optimized geometry

abc: 5.102 5.127 10.095
angles: 90.00 90.05 90.00
Atoms (fractional coordinates):
Pm  0.000  0.000  0.000
Pm  0.500  0.500  0.500
Nd  0.000  0.500  0.245
Nd  0.000  0.500  0.755
Nd  0.500  0.000  0.246
Nd  0.500  0.000  0.754
Ho  0.000  0.000  0.500
Sc  0.500  0.500  0.000

Computed properties:
E_tot ... -4.906 eV per atom
Formation energy from the elements ... 0.0288 eV/atom
Crystal system ... monoclinic
Spin magnetization ... 0.000 μB per cell